Here is a geometry-optimized PbWN2F structure from the Alexandria database. Energies are from PBE+U.

Summary:
The value obtained for the total energy is -4.150 eV/atom.

a b c (Å): 4.6517 3.7891 4.6517
angles (deg): 90.00 90.00 90.00
With the nearest neighbours (Å) after each atom.
Sites, in units of the cell vectors:
1 Pb 0.5000 0.5000 0.5000  8 N 3.00, 4 W 3.29
2 N 0.5000 0.0000 0.0000  2 F 2.33
3 N 0.0000 0.0000 0.5000  2 F 2.33
4 W 0.0000 0.5000 0.0000  2 F 1.89
5 F 0.0000 0.0000 0.0000  2 W 1.89